[1]
! Nd2CdNi9 | Alexandria via LeMat-Bulk | PBE-GGA | optimized geometry; values from VASP
! energy of formation = -0.162 eV/atom
! Fermi-level density of states = 0.9657 states/eV/atom
! space-group type = No. 166
! total magnetic moment = 2.1 μB/f.u.
&SYSTEM
  ibrav = 0, nat = 12, ntyp = 3
/
ATOMIC_SPECIES
Ni 58.69 Ni.upf
Nd 144.24 Nd.upf
Cd 112.41 Cd.upf
CELL_PARAMETERS angstrom
4.981 0.000 0.000
2.491 4.314 0.000
2.491 1.438 8.192
ATOMIC_POSITIONS angstrom
Ni 3.738 2.158 1.965
Ni 6.225 3.594 6.227
Ni 4.981 2.876 4.096
Ni 6.225 2.158 1.965
Ni 2.491 1.438 0.016
Ni 4.981 4.312 1.965
Ni 3.738 3.594 6.227
Ni 4.981 1.440 6.227
Ni 7.472 4.314 8.176
Nd 2.491 1.438 4.874
Nd 7.472 4.314 3.318
Cd 0.000 0.000 0.000

***

[2]
! Nd12CdNi6 | Alexandria via LeMat-Bulk | PBE-GGA | optimized geometry; values from VASP
! energy of formation = -0.249 eV/atom
! Fermi-level density of states = 0.9095 states/eV/atom
! space-group type = No. 204
! total magnetic moment = 0.0 μB/f.u.
&SYSTEM
  ibrav = 0, nat = 19, ntyp = 3
/
ATOMIC_SPECIES
Nd 144.24 Nd.upf
Ni 58.69 Ni.upf
Cd 112.41 Cd.upf
CELL_PARAMETERS angstrom
-8.191 0.788 -2.841
-0.048 -2.530 8.329
4.057 7.672 -0.679
ATOMIC_POSITIONS angstrom
Nd -4.399 5.545 -1.422
Nd -2.798 2.267 -0.058
Nd 0.218 0.385 6.231
Nd 0.789 6.182 -0.420
Nd 2.013 5.140 4.653
Nd -6.195 0.790 0.156
Nd -1.384 3.663 4.867
Nd -4.641 2.782 3.121
Nd -2.404 5.507 1.706
Nd -4.971 -0.253 5.230
Nd 0.459 3.147 1.689
Nd -1.778 0.422 3.103
Ni 1.005 2.360 4.491
Ni -4.621 0.155 2.317
Ni -2.601 1.076 5.641
Ni 0.439 5.775 2.492
Ni -5.187 3.570 0.319
Ni -1.580 4.854 -0.832
Cd 0.000 0.000 0.000

***

[3]
! NdCd9Ni2 | Alexandria via LeMat-Bulk | PBE-GGA | optimized geometry; values from VASP
! energy of formation = -0.086 eV/atom
! Fermi-level density of states = 0.7683 states/eV/atom
! space-group type = No. 141
! total magnetic moment = 0.0 μB/f.u.
&SYSTEM
  ibrav = 0, nat = 24, ntyp = 3
/
ATOMIC_SPECIES
Cd 112.41 Cd.upf
Nd 144.24 Nd.upf
Ni 58.69 Ni.upf
CELL_PARAMETERS angstrom
6.745 0.000 3.105
3.372 8.205 1.553
-0.059 0.000 9.006
ATOMIC_POSITIONS angstrom
Cd 1.494 2.607 9.039
Cd 1.523 1.496 4.536
Cd 5.680 6.710 6.450
Cd 5.192 2.607 3.072
Cd 3.576 7.586 4.516
Cd 6.919 4.722 10.572
Cd 2.325 0.619 7.234
Cd 5.162 1.496 7.575
Cd 2.278 5.598 9.400
Cd 6.511 4.722 4.644
Cd 3.109 7.586 7.595
Cd 6.715 4.103 7.608
Cd 7.750 6.710 8.766
Cd 4.331 3.483 9.380
Cd 4.360 0.619 4.877
Cd 2.355 3.483 2.731
Cd 4.407 5.598 2.711
Cd 0.000 0.000 0.000
Nd 3.372 0.000 1.553
Nd 3.343 4.103 6.055
Ni 6.730 2.051 5.357
Ni 5.014 6.154 9.083
Ni 6.700 2.051 9.859
Ni 8.416 6.154 6.133

***

[4]
! NdCd2Ni9 | Alexandria via LeMat-Bulk | PBE-GGA | optimized geometry; values from VASP
! energy of formation = -0.138 eV/atom
! Fermi-level density of states = 1.2707 states/eV/atom
! space-group type = No. 194
! total magnetic moment = 2.1 μB/f.u.
&SYSTEM
  ibrav = 0, nat = 24, ntyp = 3
/
ATOMIC_SPECIES
Ni 58.69 Ni.upf
Nd 144.24 Nd.upf
Cd 112.41 Cd.upf
CELL_PARAMETERS angstrom
-2.237 -1.569 4.114
-2.361 -0.220 -4.332
5.771 -14.536 -2.405
ATOMIC_POSITIONS angstrom
Ni -2.737 -3.034 -1.169
Ni -1.286 -6.689 -1.774
Ni -0.171 -5.908 -3.823
Ni -0.447 -2.142 -1.060
Ni 1.443 -3.634 -0.601
Ni -1.623 -2.252 -3.218
Ni 0.000 0.000 0.000
Ni 2.797 -14.073 0.594
Ni 1.345 -10.417 1.199
Ni 1.621 -14.182 -1.564
Ni 1.005 -5.798 -1.665
Ni -0.877 -4.304 -2.118
Ni 2.459 -9.636 -0.850
Ni 4.329 -10.902 -1.804
Ni 0.169 -10.527 -0.959
Ni 2.886 -7.268 -1.203
Ni 3.911 -13.291 -1.455
Ni 2.050 -12.021 -0.506
Nd 2.009 -11.572 -3.321
Nd -0.835 -4.753 0.697
Cd 0.409 -7.888 0.178
Cd -2.080 -1.619 1.216
Cd 3.254 -14.706 -3.839
Cd 0.765 -8.437 -2.802

***

[5]
! Nd2Cd3Ni2 | Alexandria via LeMat-Bulk | PBE-GGA | optimized geometry; values from VASP
! energy of formation = -0.292 eV/atom
! Fermi-level density of states = 0.5789 states/eV/atom
! space-group type = No. 12
! total magnetic moment = 0.0 μB/f.u.
&SYSTEM
  ibrav = 0, nat = 7, ntyp = 3
/
ATOMIC_SPECIES
Nd 144.24 Nd.upf
Cd 112.41 Cd.upf
Ni 58.69 Ni.upf
CELL_PARAMETERS angstrom
-1.335 -1.846 3.339
0.063 -3.438 -4.322
7.022 -1.283 2.097
ATOMIC_POSITIONS angstrom
Nd 1.662 -2.475 1.743
Nd 4.088 -4.092 -0.628
Cd 5.142 -3.614 2.504
Cd 0.608 -2.953 -1.390
Cd 0.000 0.000 0.000
Ni 4.363 -1.507 0.911
Ni 1.387 -5.060 0.203

***

[6]
! NdCd11Ni | Alexandria via LeMat-Bulk | PBE-GGA | optimized geometry; values from VASP
! energy of formation = -0.103 eV/atom
! Fermi-level density of states = 0.4219 states/eV/atom
! space-group type = No. 12
! total magnetic moment = 0.0 μB/f.u.
&SYSTEM
  ibrav = 0, nat = 13, ntyp = 3
/
ATOMIC_SPECIES
Cd 112.41 Cd.upf
Nd 144.24 Nd.upf
Ni 58.69 Ni.upf
CELL_PARAMETERS angstrom
0.669 -4.379 3.455
0.024 -6.472 -3.914
7.431 -1.704 0.969
ATOMIC_POSITIONS angstrom
Cd 2.541 -4.808 -2.096
Cd 1.867 -7.560 -1.165
Cd 6.396 -9.462 0.114
Cd 2.948 -5.714 1.124
Cd 4.050 -3.041 2.212
Cd 3.715 -0.852 0.484
Cd 6.257 -4.995 1.675
Cd 0.012 -3.236 -1.957
Cd 1.728 -3.092 0.396
Cd 5.583 -7.746 2.606
Cd 5.177 -6.840 -0.614
Nd 0.000 0.000 0.000
Ni 0.347 -5.425 -0.229

***

[7]
! Nd7Cd2Ni2 | Alexandria via LeMat-Bulk | PBE-GGA | optimized geometry; values from VASP
! energy of formation = -0.119 eV/atom
! Fermi-level density of states = 1.1176 states/eV/atom
! space-group type = No. 65
! total magnetic moment = 0.0 μB/f.u.
&SYSTEM
  ibrav = 0, nat = 11, ntyp = 3
/
ATOMIC_SPECIES
Nd 144.24 Nd.upf
Cd 112.41 Cd.upf
Ni 58.69 Ni.upf
CELL_PARAMETERS angstrom
6.924 -0.003 -1.001
0.003 7.256 0.004
-1.431 -0.002 6.848
ATOMIC_POSITIONS angstrom
Nd -0.711 5.451 3.424
Nd 3.460 1.802 -0.498
Nd 0.000 0.000 0.000
Nd 2.745 1.720 2.926
Nd 2.036 5.449 6.348
Nd 2.750 5.531 2.924
Nd 6.207 1.800 2.426
Cd 4.545 3.624 4.838
Cd 0.950 3.627 1.012
Ni 1.050 -0.002 4.517
Ni 4.446 7.253 1.333

***

[8]
! Nd8Cd3Ni2 | Alexandria via LeMat-Bulk | PBE-GGA | optimized geometry; values from VASP
! energy of formation = -0.115 eV/atom
! Fermi-level density of states = 1.1681 states/eV/atom
! space-group type = No. 12
! total magnetic moment = 0.0 μB/f.u.
&SYSTEM
  ibrav = 0, nat = 13, ntyp = 3
/
ATOMIC_SPECIES
Ni 58.69 Ni.upf
Cd 112.41 Cd.upf
Nd 144.24 Nd.upf
CELL_PARAMETERS angstrom
6.235 0.246 0.252
-0.142 6.894 -3.227
0.825 0.081 9.115
ATOMIC_POSITIONS angstrom
Ni 2.374 5.166 1.952
Ni 4.543 2.055 4.188
Cd 3.117 0.123 0.126
Cd -0.025 1.218 -0.570
Cd -0.117 5.676 -2.657
Nd 5.858 5.862 3.283
Nd 1.059 1.359 2.857
Nd 4.124 6.368 0.011
Nd 1.250 4.089 -0.299
Nd 5.667 3.132 6.439
Nd 4.194 2.967 1.604
Nd 2.723 4.254 4.536
Nd 2.793 0.852 6.128

***

Which value of energy of formation does entry 7 give? -0.119 eV/atom

***

Which of these has the highest energy of formation? NdCd9Ni2